VASP calculation (meta-GGA SCAN) on Pm2IrPt at its PBEsol-relaxed geometry.

Properties
Calculated formation energy (eV/atom): -1.022
Raw total energy (eV per atom): -58.338

Cell lengths 4.9462, 4.9462, 4.9462 Å; angles 60.00, 60.00, 60.00 degrees
Last column: nearest neighbours and their distance in Å.
Fractional coordinates of all 4 atoms:
1 Pm 0.2500 0.2500 0.2500  4 Pt 3.03, 4 Ir 3.03
2 Pm 0.7500 0.7500 0.7500  4 Ir 3.03, 4 Pt 3.03
3 Pt 0.0000 0.0000 0.0000  8 Pm 3.03
4 Ir 0.5000 0.5000 0.5000  8 Pm 3.03